Below is a crystal of Ta3NbTl relaxed with PBEsol, with properties calculated at the meta-GGA SCAN level.

The structure in POSCAR format:
```
Ta3NbTl
1.0
4.853 0.000 0.000
0.000 4.853 0.000
0.000 0.000 4.853
Ta Nb Tl
3 1 1
Cartesian
0.000 0.000 2.427
0.000 2.427 0.000
2.427 0.000 0.000
0.000 0.000 0.000
2.427 2.427 2.427
```

Calculated values
The value obtained for the total energy is -2.182 Ha/atom. Its energy of formation from the pure elements is 1.659 eV/atom. For the total magnetic moment, the calculation gives 0.0 μB/f.u.

---

Below is a crystal of TaNb2V relaxed with PBEsol, with properties calculated at the meta-GGA SCAN level.

The structure in POSCAR format:
```
TaNb2V
1.0
0.000 3.214 3.214
3.214 0.000 3.214
3.214 3.214 0.000
Ta Nb V
1 2 1
Cartesian
0.000 0.000 0.000
1.607 1.607 1.607
4.821 4.821 4.821
3.214 3.214 3.214
```

Calculated values
The value obtained for the total energy is -1.379 Ha/atom. Its energy of formation from the pure elements is 0.052 eV/atom. For the total magnetic moment, the calculation gives 0.0 μB/f.u.

---

Below is a crystal of TaNb2W relaxed with PBEsol, with properties calculated at the meta-GGA SCAN level.

The structure in POSCAR format:
```
TaNb2W
1.0
0.000 3.242 3.242
3.242 0.000 3.242
3.242 3.242 0.000
Ta Nb W
1 2 1
Cartesian
0.000 0.000 0.000
1.621 1.621 1.621
4.863 4.863 4.863
3.242 3.242 3.242
```

Calculated values
The value obtained for the total energy is -1.861 Ha/atom. Its energy of formation from the pure elements is -0.008 eV/atom. For the total magnetic moment, the calculation gives 0.0 μB/f.u.

---

What did the third record say?
Below is a crystal of TaNb2W relaxed with PBEsol, with properties calculated at the meta-GGA SCAN level.

The structure in POSCAR format:
```
TaNb2W
1.0
0.000 3.242 3.242
3.242 0.000 3.242
3.242 3.242 0.000
Ta Nb W
1 2 1
Cartesian
0.000 0.000 0.000
1.621 1.621 1.621
4.863 4.863 4.863
3.242 3.242 3.242
```

Calculated values
The value obtained for the total energy is -1.861 Ha/atom. Its energy of formation from the pure elements is -0.008 eV/atom. For the total magnetic moment, the calculation gives 0.0 μB/f.u.